# U3Co6Ge2

Crystalline U3Co6Ge2 at its relaxed geometry (PBE, Alexandria).

Values from the calculation:
N(E_F)   71.68 states/eV/cell
E_form   -0.3391 eV per atom

Cell lengths 8.614, 8.614, 8.614 Å; angles 90.00, 90.00, 90.00 degrees
Space group Im-3m (No. 229)
Unique sites:
U  0.000  0.000  0.272
Co  0.000  0.353  0.353
Ge  0.250  0.250  0.250